Record 1
# LiNdHg2 | the Alexandria database | PBEsol | optimized geometry
# Formation enthalpy at 0 K ... -0.528 eV per atom
# N(E_F) ... 9.83 states/eV/cell
# Total energy ... -2.594 eV/atom
# Total magnetization ... 0.00 μB/f.u.
# Calculated volume ... 22.8 Å³ per atom
data_LiNdHg2
_chemical_formula_sum 'Li4 Nd4 Hg8'
_symmetry_space_group_name_H-M 'F m -3 m'
_symmetry_Int_Tables_number 225
_symmetry_space_group_name_Hall '-F 4 2 3'
_cell_length_a 7.1480
_cell_length_b 7.1480
_cell_length_c 7.1480
_cell_angle_alpha 90.00
_cell_angle_beta 90.00
_cell_angle_gamma 90.00
loop_
_atom_site_label
_atom_site_type_symbol
_atom_site_fract_x
_atom_site_fract_y
_atom_site_fract_z
Li1 Li 0.0000 0.0000 0.0000
Nd1 Nd 0.0000 0.0000 0.5000
Hg1 Hg 0.2500 0.2500 0.2500

Record 2
# Mo4AsCl | the Alexandria database | PBEsol | optimized geometry
# Formation energy (no corrections) ... 0.899 eV/atom
# N(E_F) ... 24.38 states/eV/cell
# Total energy ... -8.132 eV/atom
# Total magnetization ... 0.00 μB/f.u.
# Calculated volume ... 16.7 Å³ per atom
data_Mo4AsCl
_chemical_formula_sum 'Mo16 As4 Cl4'
_symmetry_space_group_name_H-M 'F -4 3 m'
_symmetry_Int_Tables_number 216
_symmetry_space_group_name_Hall 'F -4 2 3'
_cell_length_a 7.3738
_cell_length_b 7.3738
_cell_length_c 7.3738
_cell_angle_alpha 90.00
_cell_angle_beta 90.00
_cell_angle_gamma 90.00
loop_
_atom_site_label
_atom_site_type_symbol
_atom_site_fract_x
_atom_site_fract_y
_atom_site_fract_z
Mo1 Mo 0.1223 0.1223 0.3777
As1 As 0.0000 0.0000 0.0000
Cl1 Cl 0.2500 0.2500 0.7500